Material: DyCuIr
Method: DFT, GGA-PBE
State: relaxed

Structure (POSCAR):
```
DyCuIr
1.0
-2.288 2.830 4.094
2.288 -2.830 4.094
2.288 2.830 -4.094
Dy Cu Ir
2 2 2
Direct
0.372 0.122 0.250
0.628 0.878 0.750
0.025 0.775 0.250
0.975 0.225 0.750
0.000 0.500 0.500
0.500 0.500 0.000
```

Calculated values
Crystal system: orthorhombic
Calculated total energy in Ry per atom: -0.4549
Space-group type: Imma (74)
Total moment in μB/cell: 0.000